[1]
# NdNp2Se4 PBE relaxed
data_NdNp2Se4
_symmetry_space_group_name_H-M 'P 1'
_symmetry_Int_Tables_number 1
_symmetry_space_group_name_Hall 'P 1'
_cell_length_a 8.307
_cell_length_b 8.307
_cell_length_c 8.307
_cell_angle_alpha 119.88
_cell_angle_beta 119.75
_cell_angle_gamma 90.32
loop_
_atom_site_label
_atom_site_fract_x
_atom_site_fract_y
_atom_site_fract_z
_atom_site_occupancy
Nd1 0.000 0.000 0.000 1
Nd2 0.500 0.000 0.500 1
Np1 0.000 0.500 0.500 1
Np2 0.500 0.000 0.000 1
Np3 0.500 0.500 0.000 1
Np4 0.500 0.500 0.500 1
Se1 0.247 0.254 0.506 1
Se2 0.247 0.741 0.994 1
Se3 0.258 0.748 0.510 1
Se4 0.262 0.252 0.010 1
Se5 0.738 0.748 0.990 1
Se6 0.742 0.252 0.490 1
Se7 0.753 0.259 0.006 1
Se8 0.753 0.746 0.494 1
# uncorrected energy	-7.70	eV per atom
# energy relative to the lowest polymorph listed for this composition	30	meV per atom
# symmetry	Imma
# spin magnetization	0.41	μB per cell

---

[2]
# Mg2ReSi PBE relaxed
data_Mg2ReSi
_symmetry_space_group_name_H-M 'P 1'
_symmetry_Int_Tables_number 1
_symmetry_space_group_name_Hall 'P 1'
_cell_length_a 2.746
_cell_length_b 4.593
_cell_length_c 5.211
_cell_angle_alpha 90.00
_cell_angle_beta 104.04
_cell_angle_gamma 90.00
loop_
_atom_site_label
_atom_site_fract_x
_atom_site_fract_y
_atom_site_fract_z
_atom_site_occupancy
Mg1 0.063 0.000 0.249 1
Mg2 0.937 0.000 0.751 1
Re1 0.500 0.500 0.000 1
Si1 0.500 0.500 0.500 1
# uncorrected energy	-5.03	eV per atom
# symmetry	P2/m
# spin magnetization	0.00	μB per cell

---

[3]
# Be2ZnIr2 PBE relaxed
data_Be2ZnIr2
_symmetry_space_group_name_H-M 'P 1'
_symmetry_Int_Tables_number 1
_symmetry_space_group_name_Hall 'P 1'
_cell_length_a 6.510
_cell_length_b 6.510
_cell_length_c 2.911
_cell_angle_alpha 90.00
_cell_angle_beta 90.00
_cell_angle_gamma 90.00
loop_
_atom_site_label
_atom_site_fract_x
_atom_site_fract_y
_atom_site_fract_z
_atom_site_occupancy
Be1 0.143 0.357 0.000 1
Be2 0.357 0.857 0.000 1
Be3 0.643 0.143 0.000 1
Be4 0.857 0.643 0.000 1
Zn1 0.000 0.000 0.500 1
Zn2 0.500 0.500 0.500 1
Ir1 0.150 0.650 0.500 1
Ir2 0.350 0.150 0.500 1
Ir3 0.650 0.850 0.500 1
Ir4 0.850 0.350 0.500 1
# uncorrected energy	-5.61	eV per atom
# energy relative to the lowest polymorph listed for this composition	126	meV per atom
# symmetry	P4/mbm
# ΔH_f (0 K)	-319	meV/atom
# spin magnetization	0.00	μB per cell

---

[4]
# HoInPbI6 PBE relaxed
data_HoInPbI6
_symmetry_space_group_name_H-M 'P 1'
_symmetry_Int_Tables_number 1
_symmetry_space_group_name_Hall 'P 1'
_cell_length_a 8.064
_cell_length_b 8.064
_cell_length_c 15.086
_cell_angle_alpha 90.00
_cell_angle_beta 90.00
_cell_angle_gamma 120.00
loop_
_atom_site_label
_atom_site_fract_x
_atom_site_fract_y
_atom_site_fract_z
_atom_site_occupancy
Ho1 0.333 0.667 0.250 1
Ho2 0.667 0.333 0.750 1
In1 0.000 0.000 0.000 1
In2 0.000 0.000 0.500 1
Pb1 0.333 0.667 0.750 1
Pb2 0.667 0.333 0.250 1
I1 0.021 0.370 0.132 1
I2 0.021 0.651 0.368 1
I3 0.349 0.370 0.368 1
I4 0.349 0.979 0.132 1
I5 0.370 0.021 0.632 1
I6 0.370 0.349 0.868 1
I7 0.630 0.651 0.132 1
I8 0.630 0.979 0.368 1
I9 0.651 0.021 0.868 1
I10 0.651 0.630 0.632 1
I11 0.979 0.349 0.632 1
I12 0.979 0.630 0.868 1
# uncorrected energy	-3.19	eV per atom
# symmetry	P-31c
# spin magnetization	0.00	μB per cell

---

[5]
# Sc4Ga2S PBE relaxed
data_Sc4Ga2S
_symmetry_space_group_name_H-M 'P 1'
_symmetry_Int_Tables_number 1
_symmetry_space_group_name_Hall 'P 1'
_cell_length_a 4.670
_cell_length_b 4.670
_cell_length_c 14.312
_cell_angle_alpha 90.00
_cell_angle_beta 90.00
_cell_angle_gamma 90.00
loop_
_atom_site_label
_atom_site_fract_x
_atom_site_fract_y
_atom_site_fract_z
_atom_site_occupancy
Sc1 0.000 0.000 0.176 1
Sc2 0.000 0.000 0.824 1
Sc3 0.000 0.500 0.000 1
Sc4 0.000 0.500 0.500 1
Sc5 0.500 0.000 0.000 1
Sc6 0.500 0.000 0.500 1
Sc7 0.500 0.500 0.324 1
Sc8 0.500 0.500 0.676 1
Ga1 0.000 0.000 0.371 1
Ga2 0.000 0.000 0.629 1
Ga3 0.500 0.500 0.129 1
Ga4 0.500 0.500 0.871 1
S1 0.000 0.000 0.000 1
S2 0.500 0.500 0.500 1
# uncorrected energy	-5.75	eV per atom
# energy relative to the lowest polymorph listed for this composition	234	meV per atom
# symmetry	I4/mmm
# spin magnetization	0.00	μB per cell

---

[6]
# Rb8Br2O3 PBE relaxed
data_Rb8Br2O3
_symmetry_space_group_name_H-M 'P 1'
_symmetry_Int_Tables_number 1
_symmetry_space_group_name_Hall 'P 1'
_cell_length_a 8.730
_cell_length_b 8.730
_cell_length_c 15.848
_cell_angle_alpha 90.00
_cell_angle_beta 90.00
_cell_angle_gamma 120.00
loop_
_atom_site_label
_atom_site_fract_x
_atom_site_fract_y
_atom_site_fract_z
_atom_site_occupancy
Rb1 0.000 0.000 0.000 1
Rb2 0.000 0.000 0.500 1
Rb3 0.054 0.527 0.005 1
Rb4 0.153 0.306 0.326 1
Rb5 0.153 0.847 0.326 1
Rb6 0.306 0.153 0.826 1
Rb7 0.333 0.667 0.818 1
Rb8 0.473 0.527 0.005 1
Rb9 0.473 0.946 0.005 1
Rb10 0.527 0.054 0.505 1
Rb11 0.527 0.473 0.505 1
Rb12 0.667 0.333 0.318 1
Rb13 0.694 0.847 0.326 1
Rb14 0.847 0.153 0.826 1
Rb15 0.847 0.694 0.826 1
Rb16 0.946 0.473 0.505 1
Br1 0.333 0.667 0.186 1
Br2 0.333 0.667 0.602 1
Br3 0.667 0.333 0.102 1
Br4 0.667 0.333 0.686 1
O1 0.164 0.328 0.910 1
O2 0.164 0.836 0.910 1
O3 0.328 0.164 0.410 1
O4 0.672 0.836 0.910 1
O5 0.836 0.164 0.410 1
O6 0.836 0.672 0.410 1
# uncorrected energy	-3.16	eV per atom
# symmetry	P6_3mc
# spin magnetization	0.54	μB per cell

---

Question: Which of these has the lowest uncorrected energy?
Answer: NdNp2Se4